1.
First-principles (meta-GGA SCAN) data for a PBEsol-optimized structure of CaSn3Rh, as listed in the Alexandria database. Values from VASP.

Values from the calculation:
The energy comes out at -30.430 eV/atom. The energy relative to the elements comes out at -0.19 eV/atom. The density is 6.21 g/cm3. The space group is No. 221.

```
&SYSTEM
  ibrav = 0, nat = 5, ntyp = 3
/
ATOMIC_SPECIES
Ca 40.08 Ca.upf
Rh 102.91 Rh.upf
Sn 118.71 Sn.upf
CELL_PARAMETERS angstrom
-0.3759 5.0899 -0.2399
-3.5491 -0.0889 3.6745
3.6563 0.4370 3.5421
ATOMIC_POSITIONS angstrom
Ca -0.1343 2.7190 3.4883
Rh 0.0000 0.0000 0.0000
Sn -0.1879 2.5450 -0.1200
Sn 1.8282 0.2185 1.7710
Sn -1.7745 -0.0444 1.8373
```

=====

2.
First-principles (meta-GGA SCAN) data for a PBEsol-optimized structure of Sb2MoPt, as listed in the Alexandria database. Values from VASP.

Values from the calculation:
The energy comes out at -44.709 eV/atom. The excess energy over the best structure of this formula in the dataset comes out at 262 meV per atom. The density is 11.82 g/cm3. The calculation puts the uncorrected formation energy at 191 meV per atom. The space group is No. 166.

```
&SYSTEM
  ibrav = 0, nat = 4, ntyp = 3
/
ATOMIC_SPECIES
Sb 121.76 Sb.upf
Mo 95.94 Mo.upf
Pt 195.08 Pt.upf
CELL_PARAMETERS angstrom
3.2300 0.0000 0.0000
1.6150 2.7972 0.0000
1.6150 0.9324 8.3144
ATOMIC_POSITIONS angstrom
Sb 4.8449 2.7972 6.2194
Sb 1.6150 0.9324 2.0950
Mo 3.2300 1.8648 4.1572
Pt 0.0000 0.0000 0.0000
```

=====

3.
First-principles (meta-GGA SCAN) data for a PBEsol-optimized structure of In3PSe, as listed in the Alexandria database. Values from VASP.

Values from the calculation:
The energy comes out at -25.911 eV/atom. The density is 5.50 g/cm3. The calculation puts the uncorrected formation energy at 216 meV per atom. The space group is No. 221.

```
&SYSTEM
  ibrav = 0, nat = 5, ntyp = 3
/
ATOMIC_SPECIES
In 114.82 In.upf
Se 78.96 Se.upf
P 30.97 P.upf
CELL_PARAMETERS angstrom
-5.0165 0.6867 -0.9851
-0.6787 -5.1123 -0.1078
-0.9907 0.0248 5.0622
ATOMIC_POSITIONS angstrom
In -0.4954 0.0124 2.5311
In -0.3393 -2.5561 -0.0539
In -2.5083 0.3434 -0.4926
Se -3.3429 -2.2004 1.9846
P 0.0000 0.0000 0.0000
```

=====

4.
First-principles (meta-GGA SCAN) data for a PBEsol-optimized structure of Ba5Pt, as listed in the Alexandria database. Values from VASP.

Values from the calculation:
The energy comes out at -44.964 eV/atom. The energy relative to the elements comes out at -0.31 eV/atom. The density is 4.91 g/cm3. The space group is No. 8.

```
&SYSTEM
  ibrav = 0, nat = 6, ntyp = 2
/
ATOMIC_SPECIES
Ba 137.33 Ba.upf
Pt 195.08 Pt.upf
CELL_PARAMETERS angstrom
4.2499 0.0000 0.0000
0.0000 9.6224 1.8806
-2.1250 0.0304 7.2996
ATOMIC_POSITIONS angstrom
Ba 2.1250 2.2206 7.5733
Ba 0.0000 5.8903 6.7310
Ba 2.1250 4.2137 3.6378
Ba 0.0000 7.7507 2.6739
Ba 0.0000 0.0496 4.1408
Pt 2.1250 7.2397 4.9038
```

=====

5.
First-principles (meta-GGA SCAN) data for a PBEsol-optimized structure of NbOF3, as listed in the Alexandria database. Values from VASP.

Values from the calculation:
The energy comes out at -13.000 eV/atom. The density is 3.08 g/cm3. The calculation puts the uncorrected formation energy at -3004 meV per atom. The space group is No. 2.

```
&SYSTEM
  ibrav = 0, nat = 20, ntyp = 3
/
ATOMIC_SPECIES
F 19.00 F.upf
Nb 92.91 Nb.upf
O 16.00 O.upf
CELL_PARAMETERS angstrom
6.3030 -0.2220 0.1267
-2.5954 7.2669 -0.2344
-2.7246 -2.4872 7.9103
ATOMIC_POSITIONS angstrom
F -1.7097 5.0855 3.8421
F -0.6488 -0.1494 7.5376
F 3.1344 3.1502 1.9467
F -2.1513 1.4075 5.8559
F 1.3058 1.7246 7.1102
F -0.8653 5.9486 1.3642
F -0.3228 2.8331 0.6924
F 2.6927 -0.5278 3.9605
F 1.8149 5.2571 5.3487
F -0.8319 -0.6994 2.4538
F 1.6318 4.7071 0.2650
F 1.8483 -1.3909 6.4383
Nb 0.9257 -0.2944 2.9562
Nb 1.2835 3.2602 1.5761
Nb 0.0573 4.8521 4.8463
Nb -0.3005 1.2975 6.2265
O 1.1899 1.3718 2.2632
O 0.6963 4.1436 3.0621
O 0.2867 0.4141 4.7404
O -0.2069 3.1859 5.5394
```

=====

6.
First-principles (meta-GGA SCAN) data for a PBEsol-optimized structure of Zr4TaPt, as listed in the Alexandria database. Values from VASP.

Values from the calculation:
The energy comes out at -42.943 eV/atom. The energy relative to the elements comes out at 0.32 eV/atom. The density is 10.39 g/cm3. The space group is No. 216.

```
&SYSTEM
  ibrav = 0, nat = 6, ntyp = 3
/
ATOMIC_SPECIES
Zr 91.22 Zr.upf
Pt 195.08 Pt.upf
Ta 180.95 Ta.upf
CELL_PARAMETERS angstrom
-4.4823 -0.5877 3.1535
-1.7652 -5.0390 1.3689
0.4979 -1.7782 5.1934
ATOMIC_POSITIONS angstrom
Zr -4.4034 -3.0681 5.2216
Zr -2.1532 -2.7731 3.6385
Zr -1.9032 -3.6658 6.2457
Zr -3.0393 -5.3028 4.3257
Pt -4.3122 -5.5537 7.2868
Ta 0.0000 0.0000 0.0000
```

=====

7.
First-principles (meta-GGA SCAN) data for a PBEsol-optimized structure of IrAu2Cl, as listed in the Alexandria database. Values from VASP.

Values from the calculation:
The energy comes out at -53.823 eV/atom. The excess energy over the best structure of this formula in the dataset comes out at 0 meV per atom. The density is 14.56 g/cm3. The calculation puts the uncorrected formation energy at 524 meV per atom. The space group is No. 71.

```
&SYSTEM
  ibrav = 0, nat = 4, ntyp = 3
/
ATOMIC_SPECIES
Cl 35.45 Cl.upf
Au 196.97 Au.upf
Ir 192.22 Ir.upf
CELL_PARAMETERS angstrom
-1.3553 1.9291 1.4697
-3.0703 -2.6996 0.7121
5.0607 -1.5061 4.0178
ATOMIC_POSITIONS angstrom
Cl -0.6776 0.9645 0.7349
Au 1.7325 -1.1507 3.1079
Au -1.0974 -1.1261 3.0917
Ir -1.5352 -1.3498 0.3560
```

=====

8.
First-principles (meta-GGA SCAN) data for a PBEsol-optimized structure of Dy2In3Sn3, as listed in the Alexandria database. Values from VASP.

Values from the calculation:
The energy comes out at -38.443 eV/atom. The energy relative to the elements comes out at -0.50 eV/atom. The density is 8.83 g/cm3. The space group is No. 47.

```
&SYSTEM
  ibrav = 0, nat = 8, ntyp = 3
/
ATOMIC_SPECIES
Sn 118.71 Sn.upf
In 114.82 In.upf
Dy 162.50 Dy.upf
CELL_PARAMETERS angstrom
4.5598 0.0000 0.0000
0.0000 4.6959 0.0000
0.0000 0.0000 9.0124
ATOMIC_POSITIONS angstrom
Sn 0.0000 2.3480 0.0000
Sn 2.2799 0.0000 4.5062
Sn 2.2799 0.0000 0.0000
In 0.0000 2.3480 4.5062
In 2.2799 2.3480 2.2775
In 2.2799 2.3480 6.7348
Dy 0.0000 0.0000 2.2252
Dy 0.0000 0.0000 6.7872
```

=====

9.
First-principles (meta-GGA SCAN) data for a PBEsol-optimized structure of Sc2CdSe, as listed in the Alexandria database. Values from VASP.

Values from the calculation:
The energy comes out at -20.743 eV/atom. The density is 5.47 g/cm3. The calculation puts the uncorrected formation energy at -1001 meV per atom. The space group is No. 166.

```
&SYSTEM
  ibrav = 0, nat = 4, ntyp = 3
/
ATOMIC_SPECIES
Se 78.96 Se.upf
Sc 44.96 Sc.upf
Cd 112.41 Cd.upf
CELL_PARAMETERS angstrom
-1.4006 1.5177 2.9914
-2.8097 -1.5699 1.6896
3.3270 -3.9517 5.7712
ATOMIC_POSITIONS angstrom
Se 0.0000 0.0000 0.0000
Sc -0.3807 -0.8680 2.4707
Sc -0.5026 -3.1359 7.9814
Cd -0.4416 -2.0020 5.2261
```

=====

10.
First-principles (meta-GGA SCAN) data for a PBEsol-optimized structure of CsInSe2, as listed in the Alexandria database. Values from VASP.

Values from the calculation:
The energy comes out at -28.898 eV/atom. The density is 4.65 g/cm3. The calculation puts the uncorrected formation energy at -1059 meV per atom. The space group is No. 15.

```
&SYSTEM
  ibrav = 0, nat = 8, ntyp = 3
/
ATOMIC_SPECIES
Se 78.96 Se.upf
Cs 132.91 Cs.upf
In 114.82 In.upf
CELL_PARAMETERS angstrom
6.6134 0.1034 0.1622
-1.9610 6.9791 -0.1740
-1.9610 -3.1045 6.2530
ATOMIC_POSITIONS angstrom
Se 0.0243 -0.3893 1.9719
Se 3.3310 2.0036 0.5608
Se -0.6396 1.9743 5.6803
Se 2.6672 4.3672 4.2692
Cs -0.3076 3.3170 2.2171
Cs 2.9991 0.6609 4.0241
In -0.3076 -3.0018 6.2445
In 2.9991 6.9797 -0.0034
```

=====

11.
First-principles (meta-GGA SCAN) data for a PBEsol-optimized structure of LaHfTe2, as listed in the Alexandria database. Values from VASP.

Values from the calculation:
The energy comes out at -45.963 eV/atom. The excess energy over the best structure of this formula in the dataset comes out at 0 meV per atom. The density is 9.54 g/cm3. The calculation puts the uncorrected formation energy at -893 meV per atom. The space group is No. 225.

```
&SYSTEM
  ibrav = 0, nat = 4, ntyp = 3
/
ATOMIC_SPECIES
Hf 178.49 Hf.upf
Te 127.60 Te.upf
La 138.91 La.upf
CELL_PARAMETERS angstrom
5.2040 0.0000 0.0000
2.6020 4.5068 0.0000
2.6020 1.5023 4.2490
ATOMIC_POSITIONS angstrom
Hf 5.2040 3.0045 2.1245
Te 2.6020 1.5023 1.0623
Te 7.8060 4.5068 3.1868
La 0.0000 0.0000 0.0000
```

=====

12.
First-principles (meta-GGA SCAN) data for a PBEsol-optimized structure of AlFeW2, as listed in the Alexandria database. Values from VASP.

Values from the calculation:
The energy comes out at -41.259 eV/atom. The energy relative to the elements comes out at 0.06 eV/atom. The density is 13.18 g/cm3. The space group is No. 123.

```
&SYSTEM
  ibrav = 0, nat = 4, ntyp = 3
/
ATOMIC_SPECIES
Fe 55.84 Fe.upf
Al 26.98 Al.upf
W 183.84 W.upf
CELL_PARAMETERS angstrom
-2.4035 -0.9443 2.6814
-0.8499 -3.1120 -1.8578
2.9855 -1.9938 1.9739
ATOMIC_POSITIONS angstrom
Fe 1.4927 -0.9969 0.9869
Al -0.1340 -3.0251 1.3987
W -1.2018 -0.4722 1.3407
W -0.4250 -1.5560 -0.9289
```